# 1
## Ca2CdHg3 (PBE)

Data for an optimized crystal structure of Ca2CdHg3.

The size of the total moment is 0.0 Bohr magnetons per cell. The formation energy comes out at -0.335 eV per atom. For the total energy, the calculation gives -1.306 eV/atom.

The structure belongs to space group Imm2 (No. 44); the cell edges are 3.9473, 4.5295 and 19.1230 Å and the angles 90.00°, 90.00° and 90.00°. The distinct sites, in fractional coordinates, are Ca at (0.0000, 0.0000, 0.0000), Ca at (0.0000, 0.5000, 0.2264), Cd at (0.0000, 0.0000, 0.4120), Hg at (0.0000, 0.0000, 0.5633), Hg at (0.0000, 0.5000, 0.6537) and Hg at (0.0000, 0.5000, 0.8060).

# 2
## Ba2PaGaTe5 (PBE)

Data for an optimized crystal structure of Ba2PaGaTe5.

The size of the total moment is 4.8 Bohr magnetons per cell. For the total energy, the calculation gives -4.666 eV/atom. The value obtained for the formation energy (no corrections) is -1.102 eV per atom.

The structure belongs to space group Cmc2_1 (No. 36); the cell edges are 4.7796, 20.1243 and 13.8715 Å and the angles 90.00°, 90.00° and 90.00°. The distinct sites, in fractional coordinates, are Ba at (0.0000, 0.1168, 0.0000), Ba at (0.0000, 0.1221, 0.6292), Pa at (0.0000, 0.2029, 0.3279), Ga at (0.0000, 0.4412, 0.7586), Te at (0.0000, 0.0485, 0.3522), Te at (0.0000, 0.2943, 0.9740), Te at (0.0000, 0.3085, 0.6774), Te at (0.0000, 0.3539, 0.3166) and Te at (0.0000, 0.4985, 0.5842).

# 3
## TaMn2Tc (PBE)

Data for an optimized crystal structure of TaMn2Tc.

The size of the total moment is 6.0 Bohr magnetons per cell. The formation energy comes out at -0.013 eV per atom. For the total energy, the calculation gives -10.152 eV/atom.

The structure belongs to space group Immm (No. 71); the cell edges are 3.1214, 4.3014 and 8.3558 Å and the angles 90.00°, 90.00° and 90.00°. The distinct sites, in fractional coordinates, are Ta at (0.0000, 0.0000, 0.0000), Mn at (0.0000, 0.5000, 0.2465) and Tc at (0.0000, 0.0000, 0.5000).

Which value of size of the total moment does entry 3 give? 6.0 Bohr magnetons per cell